# K2PaAs2O7

Crystalline K2PaAs2O7 at its relaxed geometry (PBE-GGA, the Alexandria database).

Cell: 8.9699 8.9699 8.9699 Å, 39.20 39.20 39.20°
Fractional positions:
K  0.2250  0.2250  0.2250
K  0.7750  0.7750  0.7750
Pa  0.5000  0.5000  0.5000
As  0.0815  0.0815  0.0815
As  0.9185  0.9185  0.9185
O  0.0000  0.0000  0.0000
O  0.1968  0.7241  0.7241
O  0.2759  0.2759  0.8032
O  0.2759  0.8032  0.2759
O  0.7241  0.1968  0.7241
O  0.7241  0.7241  0.1968
O  0.8032  0.2759  0.2759

## Properties
SG ... R-3m (166)
Density of states at the Fermi level ... 1.07 states/eV/f.u.
Theoretical density ... 3.7 g/cm3
Total DFT energy (no corrections) ... -6.560 eV per atom

# KPaAsO5

Crystalline KPaAsO5 at its relaxed geometry (PBE-GGA, the Alexandria database).

Cell: 6.2775 6.2775 8.1845 Å, 105.54 105.54 104.92°
Fractional positions:
K  0.1710  0.8290  0.7500
K  0.8290  0.1710  0.2500
Pa  0.5000  0.5000  0.0000
Pa  0.5000  0.5000  0.5000
As  0.1850  0.8150  0.2500
As  0.8150  0.1850  0.7500
O  0.1216  0.2581  0.8904
O  0.2060  0.6198  0.3879
O  0.2581  0.1216  0.3904
O  0.3802  0.7940  0.1121
O  0.4390  0.5609  0.7500
O  0.5609  0.4390  0.2500
O  0.6198  0.2060  0.8879
O  0.7419  0.8784  0.6096
O  0.7940  0.3802  0.6121
O  0.8784  0.7419  0.1096

## Properties
SG ... C2/c (15)
Density of states at the Fermi level ... 3.67 states/eV/f.u.
Theoretical density ... 5.0 g/cm3
Total DFT energy (no corrections) ... -7.311 eV per atom

# K3As2PbO8

Crystalline K3As2PbO8 at its relaxed geometry (PBE-GGA, the Alexandria database).

Cell: 6.0010 6.0010 7.8920 Å, 90.00 90.00 120.00°
Fractional positions:
K  0.0000  0.0000  0.0000
K  0.3333  0.6667  0.6980
K  0.6667  0.3333  0.3020
As  0.3333  0.6667  0.2344
As  0.6667  0.3333  0.7656
Pb  0.0000  0.0000  0.5000
O  0.1756  0.3512  0.3092
O  0.1756  0.8244  0.3092
O  0.3333  0.6667  0.0210
O  0.3512  0.1756  0.6908
O  0.6488  0.8244  0.3092
O  0.6667  0.3333  0.9790
O  0.8244  0.1756  0.6908
O  0.8244  0.6488  0.6908

## Properties
SG ... P-3m1 (164)
Density of states at the Fermi level ... 3.28 states/eV/f.u.
Theoretical density ... 4.1 g/cm3
Total DFT energy (no corrections) ... -5.457 eV per atom

# KAs2PbO8

Crystalline KAs2PbO8 at its relaxed geometry (PBE-GGA, the Alexandria database).

Cell: 9.1090 9.1090 9.1090 Å, 33.01 33.01 33.01°
Fractional positions:
K  0.0000  0.0000  0.0000
As  0.2419  0.2419  0.2419
As  0.7581  0.7581  0.7581
Pb  0.5000  0.5000  0.5000
O  0.1043  0.4687  0.7645
O  0.2355  0.5313  0.8957
O  0.3078  0.3078  0.3078
O  0.4687  0.7645  0.1043
O  0.5313  0.8957  0.2355
O  0.6922  0.6922  0.6922
O  0.7645  0.1043  0.4687
O  0.8957  0.2355  0.5313

## Properties
SG ... R32 (155)
Density of states at the Fermi level ... 6.71 states/eV/f.u.
Theoretical density ... 4.4 g/cm3
Total DFT energy (no corrections) ... -5.535 eV per atom

# KAsPbO4

Crystalline KAsPbO4 at its relaxed geometry (PBE-GGA, the Alexandria database).

Cell: 6.2939 6.0622 7.7045 Å, 90.00 111.92 90.00°
Fractional positions:
K  0.1965  0.2500  0.4572
K  0.8035  0.7500  0.5428
As  0.2316  0.7500  0.2027
As  0.7684  0.2500  0.7973
Pb  0.3041  0.2500  0.0132
Pb  0.6959  0.7500  0.9868
O  0.0498  0.7500  0.3216
O  0.0596  0.7500  0.9645
O  0.4084  0.5205  0.2527
O  0.4084  0.9795  0.2527
O  0.5916  0.0205  0.7473
O  0.5916  0.4795  0.7473
O  0.9404  0.2500  0.0355
O  0.9502  0.2500  0.6784

## Properties
SG ... P2_1/m (11)
Density of states at the Fermi level ... 0.00 states/eV/f.u.
Theoretical density ... 4.7 g/cm3
Total DFT energy (no corrections) ... -5.661 eV per atom

# KAs2PdO8

Crystalline KAs2PdO8 at its relaxed geometry (PBE-GGA, the Alexandria database).

Cell: 9.0366 9.0366 9.0366 Å, 33.86 33.86 33.86°
Fractional positions:
K  0.0000  0.0000  0.0000
As  0.2362  0.2362  0.2362
As  0.7638  0.7638  0.7638
Pd  0.5000  0.5000  0.5000
O  0.1305  0.5066  0.7059
O  0.2941  0.4934  0.8695
O  0.3028  0.3028  0.3028
O  0.4934  0.8695  0.2941
O  0.5066  0.7059  0.1305
O  0.6972  0.6972  0.6972
O  0.7059  0.1305  0.5066
O  0.8695  0.2941  0.4934

## Properties
SG ... R32 (155)
Density of states at the Fermi level ... 10.96 states/eV/f.u.
Theoretical density ... 3.4 g/cm3
Total DFT energy (no corrections) ... -5.398 eV per atom

# KAs2PdO6

Crystalline KAs2PdO6 at its relaxed geometry (PBE-GGA, the Alexandria database).

Cell: 8.1881 8.1881 5.0489 Å, 95.16 95.16 94.18°
Fractional positions:
K  0.1179  0.8821  0.7500
K  0.8821  0.1179  0.2500
As  0.2069  0.3696  0.7823
As  0.3696  0.2069  0.2823
As  0.6304  0.7931  0.7177
As  0.7931  0.6304  0.2177
Pd  0.3249  0.6751  0.2500
Pd  0.6751  0.3249  0.7500
O  0.0466  0.2292  0.7479
O  0.1880  0.5674  0.8948
O  0.2292  0.0466  0.2479
O  0.2963  0.3852  0.4674
O  0.3852  0.2963  0.9674
O  0.4326  0.8120  0.6052
O  0.5674  0.1880  0.3948
O  0.6148  0.7037  0.0326
O  0.7037  0.6148  0.5326
O  0.7708  0.9534  0.7521
O  0.8120  0.4326  0.1052
O  0.9534  0.7708  0.2521

## Properties
SG ... C2/c (15)
Density of states at the Fermi level ... 1.65 states/eV/f.u.
Theoretical density ... 3.9 g/cm3
Total DFT energy (no corrections) ... -5.574 eV per atom

# K2AsPdO4

Crystalline K2AsPdO4 at its relaxed geometry (PBE-GGA, the Alexandria database).

Cell: 11.1100 9.8240 6.6271 Å, 82.50 61.25 36.26°
Fractional positions:
K  0.0556  0.0556  0.6944
K  0.3056  0.3056  0.9444
K  0.6944  0.6944  0.0556
K  0.9444  0.9444  0.3056
As  0.3750  0.3750  0.3750
As  0.6250  0.6250  0.6250
Pd  0.1250  0.1250  0.1250
Pd  0.8750  0.8750  0.8750
O  0.0519  0.6127  0.5152
O  0.3202  0.5152  0.6127
O  0.3873  0.9481  0.6798
O  0.4848  0.6798  0.9481
O  0.5152  0.3202  0.0519
O  0.6127  0.0519  0.3202
O  0.6798  0.4848  0.3873
O  0.9481  0.3873  0.4848

## Properties
SG ... Fddd (70)
Density of states at the Fermi level ... 1.41 states/eV/f.u.
Theoretical density ... 3.3 g/cm3
Total DFT energy (no corrections) ... -5.061 eV per atom